# 1
Compound: Si2IrPd
Source: Alexandria via LeMat-Bulk
Functional: PBE
Structure: optimized geometry

```
4
Lattice="0.0000 3.0311 3.0311 3.0311 0.0000 3.0311 3.0311 3.0311 0.0000" Properties=species:S:1:pos:R:3 pbc="T T T"
Si 1.5155 1.5155 1.5155
Si 4.5466 4.5466 4.5466
Ir 0.0000 0.0000 0.0000
Pd 3.0311 3.0311 3.0311
```

Output
- crystal system = cubic
- SG = No. 225
- energy (eV/f.u.) = -26.02
- ΔE_f (raw) (eV per formula unit) = -1.12

# 2
Compound: Sc2Sb2F
Source: Alexandria via LeMat-Bulk
Functional: PBE
Structure: optimized geometry

```
10
Lattice="6.7185 0.0000 0.0000 0.0000 6.7185 0.0000 0.0000 0.0000 4.6305" Properties=species:S:1:pos:R:3 pbc="T T T"
Sc 1.1551 2.2042 0.0000
Sc 2.2042 5.5634 0.0000
Sc 4.5143 1.1551 0.0000
Sc 5.5634 4.5143 0.0000
Sb 1.0021 4.3614 2.3152
Sb 2.3572 1.0021 2.3152
Sb 4.3614 5.7164 2.3152
Sb 5.7164 2.3572 2.3152
F 0.0000 0.0000 0.0000
F 3.3593 3.3593 0.0000
```

Output
- crystal system = tetragonal
- SG = No. 127
- energy (eV/f.u.) = -29.22
- ΔE_f (raw) (eV per formula unit) = -6.45

Repeat the first record exactly.
Compound: Si2IrPd
Source: Alexandria via LeMat-Bulk
Functional: PBE
Structure: optimized geometry

```
4
Lattice="0.0000 3.0311 3.0311 3.0311 0.0000 3.0311 3.0311 3.0311 0.0000" Properties=species:S:1:pos:R:3 pbc="T T T"
Si 1.5155 1.5155 1.5155
Si 4.5466 4.5466 4.5466
Ir 0.0000 0.0000 0.0000
Pd 3.0311 3.0311 3.0311
```

Output
- crystal system = cubic
- SG = No. 225
- energy (eV/f.u.) = -26.02
- ΔE_f (raw) (eV per formula unit) = -1.12

- energy of number 1 (Si2IrPd)?
  -26.02 eV/f.u.

What did the first record say?
Compound: Si2IrPd
Source: Alexandria via LeMat-Bulk
Functional: PBE
Structure: optimized geometry

```
4
Lattice="0.0000 3.0311 3.0311 3.0311 0.0000 3.0311 3.0311 3.0311 0.0000" Properties=species:S:1:pos:R:3 pbc="T T T"
Si 1.5155 1.5155 1.5155
Si 4.5466 4.5466 4.5466
Ir 0.0000 0.0000 0.0000
Pd 3.0311 3.0311 3.0311
```

Output
- crystal system = cubic
- SG = No. 225
- energy (eV/f.u.) = -26.02
- ΔE_f (raw) (eV per formula unit) = -1.12

- Look up the ΔE_f (raw) of the second one.
  -6.45 eV per formula unit